Material: LiMg2Ir
Method: DFT, PBE-GGA
State: relaxed

The structure in POSCAR format:
```
LiMg2Ir
1.0
6.3611 0.0000 0.0000
0.0000 6.3759 0.0000
0.0000 0.0000 6.2823
Ir Li Mg
4 4 8
direct
0.7497 0.2500 0.0000
0.2503 0.7500 0.0000
0.2497 0.7500 0.5000
0.7503 0.2500 0.5000
0.2509 0.2500 0.0002
0.7509 0.7500 0.4998
0.2491 0.2500 0.5002
0.7491 0.7500 0.9998
0.0000 0.0000 0.2496
0.0000 0.5000 0.2496
0.5000 0.0000 0.2504
0.5000 0.5000 0.2504
0.5000 0.0000 0.7496
0.5000 0.5000 0.7496
0.0000 0.0000 0.7504
0.0000 0.5000 0.7504
```

Summary:
E_tot in Ry per atom: -0.2751
Symmetry: No. 74